{
  "formula": "Tm3NiPb",
  "functional": "GGA-PBE",
  "state": "relaxed",
  "spacegroup": "P2_1/m, No. 11",
  "lattice": [[7.629, 0.000, 0.000], [0.000, 4.427, 0.000], [-3.420, 0.000, 7.493]],
  "species": ["Tm", "Tm", "Tm", "Tm", "Tm", "Tm", "Ni", "Ni", "Pb", "Pb"],
  "fractional_positions": [[0.046, 0.250, 0.247], [0.324, 0.250, 0.919], [0.328, 0.750, 0.595], [0.672, 0.250, 0.405], [0.676, 0.750, 0.081], [0.954, 0.750, 0.753], [0.064, 0.250, 0.584], [0.936, 0.750, 0.416], [0.325, 0.750, 0.201], [0.675, 0.250, 0.799]]
}

***

{
  "formula": "Tm4NiPb2",
  "functional": "GGA-PBE",
  "state": "relaxed",
  "spacegroup": "P2_1/m, No. 11",
  "lattice": [[6.488, 0.000, 0.000], [0.000, 6.651, 0.000], [-2.409, 0.000, 8.717]],
  "species": ["Tm", "Tm", "Tm", "Tm", "Tm", "Tm", "Tm", "Tm", "Ni", "Ni", "Pb", "Pb", "Pb", "Pb"],
  "fractional_positions": [[0.188, 0.250, 0.092], [0.249, 0.750, 0.374], [0.299, 0.000, 0.748], [0.299, 0.500, 0.748], [0.701, 0.000, 0.252], [0.701, 0.500, 0.252], [0.751, 0.250, 0.626], [0.812, 0.750, 0.908], [0.460, 0.250, 0.367], [0.540, 0.750, 0.633], [0.107, 0.250, 0.440], [0.319, 0.750, 0.047], [0.681, 0.250, 0.953], [0.893, 0.750, 0.560]]
}

***

{
  "formula": "Tm12Ni5Pb",
  "functional": "GGA-PBE",
  "state": "relaxed",
  "spacegroup": "Immm, No. 71",
  "lattice": [[-4.622, 4.713, 4.892], [4.622, -4.713, 4.892], [4.622, 4.713, -4.892]],
  "species": ["Tm", "Tm", "Tm", "Tm", "Tm", "Tm", "Tm", "Tm", "Tm", "Tm", "Tm", "Tm", "Ni", "Ni", "Ni", "Ni", "Ni", "Pb"],
  "fractional_positions": [[0.020, 0.213, 0.807], [0.181, 0.291, 0.472], [0.181, 0.709, 0.890], [0.321, 0.015, 0.694], [0.321, 0.627, 0.306], [0.406, 0.213, 0.193], [0.594, 0.787, 0.807], [0.679, 0.373, 0.694], [0.679, 0.985, 0.306], [0.819, 0.291, 0.110], [0.819, 0.709, 0.528], [0.980, 0.787, 0.193], [0.000, 0.000, 0.000], [0.123, 0.623, 0.500], [0.364, 0.000, 0.364], [0.636, 0.000, 0.636], [0.877, 0.377, 0.500], [0.500, 0.500, 0.000]]
}

***

{
  "formula": "TmNiPb",
  "functional": "GGA-PBE",
  "state": "relaxed",
  "spacegroup": "I4mm, No. 107",
  "lattice": [[-1.690, 1.690, 5.685], [1.690, -1.690, 5.685], [1.690, 1.690, -5.685]],
  "species": ["Tm", "Ni", "Pb"],
  "fractional_positions": [[0.000, 0.000, 0.000], [0.365, 0.365, 0.000], [0.717, 0.717, 0.000]]
}

***

The calculation returns the following raw total energy values, one per record and in order: -0.367; -0.351; -0.381; -0.357 Ry/atom.